This record from Alexandria via LeMat-Bulk describes an optimized crystal structure of Na4Mn6F19. The functional is PBE with a Hubbard U.

Cell: 8.1233 8.2770 8.3803 Å, 109.01 108.76 109.43°
Sites, in units of the cell vectors:
Na: 0.0000 0.0000 0.0000
Na: 0.0089 0.7278 0.2504
Na: 0.2617 0.2809 0.5523
Na: 0.7265 0.0142 0.2676
Mn: 0.1978 0.6845 0.8135
Mn: 0.3397 0.5119 0.1245
Mn: 0.5060 0.8477 0.6135
Mn: 0.5153 0.1798 0.9601
Mn: 0.6735 0.5051 0.4559
Mn: 0.8625 0.3389 0.7939
F: 0.0053 0.0080 0.2760
F: 0.0280 0.6517 0.9574
F: 0.0484 0.2858 0.9841
F: 0.0570 0.3723 0.6748
F: 0.2874 0.9879 0.9416
F: 0.3026 0.7005 0.3269
F: 0.3334 0.6505 0.6388
F: 0.3710 0.0039 0.6437
F: 0.3766 0.3181 0.9181
F: 0.3897 0.3862 0.3251
F: 0.4334 0.7233 0.0441
F: 0.6398 0.0159 0.9342
F: 0.6496 0.3798 0.6087
F: 0.6625 0.2672 0.2530
F: 0.6675 0.6309 0.3004
F: 0.6848 0.0366 0.5841
F: 0.6965 0.7591 0.6727
F: 0.7351 0.3782 0.9803
F: 0.9548 0.6429 0.5823

Computed properties:
Crystal system ... triclinic
SG ... No. 1
Theoretical density ... 3.0 g/cm3
DFT total energy ... -5.55 eV/atom